A plane-wave DFT calculation with PBE-GGA was carried out for crystalline SmMnNiP2 at its relaxed geometry.

Output
For the density of states at the Fermi level, the calculation gives 3.05 states/eV/f.u. Its formation energy is -0.92 eV per atom.

Cell: 3.7536 3.7536 6.0613 Å, 108.04 108.04 90.00°
Last column: nearest neighbours and their distance in Å.
Fractional positions:
1 Mn 0.2500 0.7500 0.5000  4 P 2.24
2 P 0.3619 0.3619 0.7237  2 Mn 2.24, 2 Ni 2.24
3 P 0.6381 0.6381 0.2763  2 Mn 2.24, 2 Ni 2.24
4 Sm 0.0000 0.0000 0.0000  8 P 3.05, 4 Mn 3.31, 4 Ni 3.31
5 Ni 0.7500 0.2500 0.5000  4 P 2.24

A plane-wave DFT calculation with PBE-GGA was carried out for crystalline CdRu2Se at its relaxed geometry.

Output
For the density of states at the Fermi level, the calculation gives 6.37 states/eV/f.u. The value obtained for the polymorph energy (0 for the lowest one) is 269 meV per atom.

Cell: 3.1775 4.4924 4.4924 Å, 90.00 90.00 90.00°
Last column: nearest neighbours and their distance in Å.
Fractional positions:
1 Ru 0.0000 0.0000 0.0000  4 Cd 2.75, 4 Se 2.75
2 Ru 0.0000 0.5000 0.5000  4 Cd 2.75, 4 Se 2.75
3 Cd 0.5000 0.0000 0.5000  8 Ru 2.75
4 Se 0.5000 0.5000 0.0000  8 Ru 2.75

A plane-wave DFT calculation with PBE-GGA was carried out for crystalline AcCoSn at its relaxed geometry.

Output
For the density of states at the Fermi level, the calculation gives 2.26 states/eV/f.u. The value obtained for the polymorph energy (0 for the lowest one) is 20 meV per atom. Its formation energy is -0.27 eV per atom.

Cell: 6.7960 4.7775 6.3687 Å, 67.97 57.76 90.00°
Last column: nearest neighbours and their distance in Å.
Fractional positions:
1 Ac 0.2678 0.1833 0.2774  4 Co 3.18, 4 Sn 3.46
2 Ac 0.7678 0.6833 0.2774  4 Co 3.18, 4 Sn 3.46
3 Co 0.2678 0.1833 0.7774  2 Co 2.39, 2 Sn 2.65
4 Co 0.2678 0.6833 0.7774  2 Co 2.39, 2 Sn 2.65
5 Sn 0.6155 0.9333 0.7774  2 Co 2.65
6 Sn 0.9202 0.4333 0.7774  2 Co 2.65

A plane-wave DFT calculation with PBE-GGA was carried out for crystalline Li2AsSeO6 at its relaxed geometry.

Output
For the density of states at the Fermi level, the calculation gives 0.91 states/eV/f.u. The energy comes out at -52.8 eV/cell.

Cell: 4.8221 5.0921 5.0921 Å, 90.00 90.00 90.00°
Last column: nearest neighbours and their distance in Å.
Fractional positions:
1 O 0.7248 0.2460 0.2460  1 As 1.90, 1 Se 1.93, 2 Li 2.08
2 O 0.7248 0.7540 0.7540  1 As 1.90, 1 Se 1.93, 2 Li 2.08
3 O 0.2558 0.5000 0.5000  1 Se 1.64
4 O 0.2348 0.0000 0.0000  1 As 1.67
5 O 0.7248 0.7540 0.2460  1 As 1.90, 1 Se 1.93, 2 Li 2.08
6 O 0.7248 0.2460 0.7540  1 As 1.90, 1 Se 1.93, 2 Li 2.08
7 Se 0.5968 0.5000 0.5000  1 O 1.64
8 As 0.5806 0.0000 0.0000  1 O 1.67
9 Li 0.9398 0.0000 0.5000  4 O 2.08
10 Li 0.9398 0.5000 0.0000  4 O 2.08

A plane-wave DFT calculation with PBE-GGA was carried out for crystalline Pu2AlSi at its relaxed geometry.

Output
For the density of states at the Fermi level, the calculation gives 11.13 states/eV/f.u. The energy comes out at -39.0 eV/cell.

Cell: 3.8587 3.8587 5.6374 Å, 90.00 90.00 90.00°
Last column: nearest neighbours and their distance in Å.
Fractional positions:
1 Pu 0.0000 0.0000 0.2398  2 Pu 2.70-2.93
2 Pu 0.0000 0.0000 0.7602  2 Pu 2.70-2.93
3 Al 0.5000 0.5000 0.5000  2 Si 2.82, 8 Pu 3.10
4 Si 0.5000 0.5000 0.0000  2 Al 2.82, 8 Pu 3.05

A plane-wave DFT calculation with PBE-GGA was carried out for crystalline Sm2ScBi2O2 at its relaxed geometry.

Output
For the density of states at the Fermi level, the calculation gives 2.14 states/eV/f.u. The energy comes out at -46.8 eV/cell.

Cell: 4.1954 4.1954 8.9350 Å, 103.58 103.58 90.00°
Last column: nearest neighbours and their distance in Å.
Fractional positions:
1 O 0.5000 0.0000 0.0000  2 Sc 2.10
2 O 0.0000 0.5000 0.0000  2 Sc 2.10
3 Sm 0.6054 0.6054 0.2108  4 O 2.75
4 Sm 0.3946 0.3946 0.7892  4 O 2.75
5 Sc 0.0000 0.0000 0.0000  4 O 2.10
6 Bi 0.8119 0.8119 0.6237  1 Sc 3.17, 5 Sm 3.28-3.48
7 Bi 0.1881 0.1881 0.3763  1 Sc 3.17, 5 Sm 3.28-3.48

A plane-wave DFT calculation with PBE-GGA was carried out for crystalline SmTmAl6 at its relaxed geometry.

Output
For the density of states at the Fermi level, the calculation gives 3.28 states/eV/f.u. Its formation energy is -0.42 eV per atom.

Cell: 4.6660 6.2684 6.2684 Å, 119.98 90.00 90.00°
Last column: nearest neighbours and their distance in Å.
Fractional positions:
1 Al 0.0000 0.0399 0.3950  6 Al 2.73-2.82
2 Al 0.5000 0.4543 0.1023  6 Al 2.78-2.82, 2 Tm 3.08
3 Al 0.0000 0.6050 0.9601  6 Al 2.73-2.82
4 Al 0.5000 0.8978 0.1022  6 Al 2.78-2.82, 2 Tm 3.08
5 Al 0.5000 0.8977 0.5457  6 Al 2.78-2.82, 2 Tm 3.08
6 Al 0.0000 0.6050 0.3950  6 Al 2.73-2.82
7 Tm 0.0000 0.0834 0.9166  12 Al 3.08-3.14
8 Sm 0.5000 0.4166 0.5834  12 Al 3.10-3.14

A plane-wave DFT calculation with PBE-GGA was carried out for crystalline CaZrP2S at its relaxed geometry.

Output
For the density of states at the Fermi level, the calculation gives 4.96 states/eV/f.u. The value obtained for the polymorph energy (0 for the lowest one) is 0 meV per atom.

Cell: 5.0337 5.0337 4.9853 Å, 90.00 90.00 90.00°
Last column: nearest neighbours and their distance in Å.
Fractional positions:
1 S 0.0000 0.0000 0.5000  2 Zr 2.49
2 P 0.5000 0.0000 0.0000  2 Zr 2.52
3 P 0.0000 0.5000 0.0000  2 Zr 2.52
4 Ca 0.5000 0.5000 0.5000  8 P 3.54, 4 S 3.56
5 Zr 0.0000 0.0000 0.0000  2 S 2.49, 4 P 2.52

A plane-wave DFT calculation with PBE-GGA was carried out for crystalline La5Sm2Tm4 at its relaxed geometry.

Output
For the density of states at the Fermi level, the calculation gives 17.19 states/eV/f.u. The value obtained for the polymorph energy (0 for the lowest one) is 31 meV per atom. Its formation energy is 0.16 eV per atom.

Cell: 3.5592 9.2589 12.8331 Å, 111.15 97.97 90.00°
Last column: nearest neighbours and their distance in Å.
Fractional positions:
1 Tm 0.0000 0.6809 0.0000  7 Tm 3.33-3.56, 4 La 3.45-3.60
2 Tm 0.5956 0.5956 0.1913  1 Sm 3.21, 6 Tm 3.33-3.56, 4 La 3.49
3 Tm 0.0000 0.3191 0.0000  7 Tm 3.33-3.56, 4 La 3.45-3.60
4 Tm 0.4044 0.4044 0.8087  1 Sm 3.21, 6 Tm 3.33-3.56, 4 La 3.49
5 La 0.5000 0.0000 0.0000  4 Tm 3.45, 2 La 3.56
6 La 0.1448 0.3460 0.2895  3 Sm 3.47-3.88, 3 Tm 3.49-3.60, 3 La 3.56-3.73
7 La 0.8552 0.6540 0.7105  3 Sm 3.47-3.88, 3 Tm 3.49-3.60, 3 La 3.56-3.73
8 La 0.1448 0.9435 0.2895  3 Sm 3.47-3.88, 3 Tm 3.49-3.60, 3 La 3.56-3.73
9 La 0.8552 0.0565 0.7105  3 Sm 3.47-3.88, 3 Tm 3.49-3.60, 3 La 3.56-3.73
10 Sm 0.2686 0.2686 0.5373  1 Tm 3.21, 2 La 3.47, 2 Sm 3.56
11 Sm 0.7314 0.7314 0.4627  1 Tm 3.21, 2 La 3.47, 2 Sm 3.56

A plane-wave DFT calculation with PBE-GGA was carried out for crystalline Ru2PtW at its relaxed geometry.

Output
For the density of states at the Fermi level, the calculation gives 3.93 states/eV/f.u. The value obtained for the polymorph energy (0 for the lowest one) is 182 meV per atom. Its formation energy is 0.01 eV per atom.

Cell: 2.7665 2.7665 7.7969 Å, 90.00 90.00 90.00°
Last column: nearest neighbours and their distance in Å.
Fractional positions:
1 Pt 0.5000 0.5000 0.7500  4 Pt 2.77, 8 Ru 2.79
2 Ru 0.0000 0.0000 0.4949  4 W 2.73, 4 Ru 2.77, 4 Pt 2.79
3 Ru 0.0000 0.0000 0.0051  4 W 2.73, 4 Ru 2.77, 4 Pt 2.79
4 W 0.5000 0.5000 0.2500  8 Ru 2.73, 4 W 2.77

A plane-wave DFT calculation with PBE-GGA was carried out for crystalline PrSm6Th2 at its relaxed geometry.

Output
For the density of states at the Fermi level, the calculation gives 18.09 states/eV/f.u. Its formation energy is 0.08 eV per atom.

Cell: 3.6141 3.6141 27.0705 Å, 90.00 90.00 120.00°
Last column: nearest neighbours and their distance in Å.
Fractional positions:
1 Pr 0.3333 0.6667 0.0000  6 Pr 3.61, 6 Sm 3.69
2 Sm 0.3333 0.6667 0.7782  9 Sm 3.61-3.63, 3 Th 3.62
3 Sm 0.3333 0.6667 0.4371  7 Sm 3.41-3.61, 3 Th 3.55
4 Sm 0.6667 0.3333 0.1123  9 Sm 3.61-3.63, 3 Pr 3.69
5 Sm 0.3333 0.6667 0.2218  9 Sm 3.61-3.63, 3 Th 3.62
6 Sm 0.3333 0.6667 0.5629  7 Sm 3.41-3.61, 3 Th 3.55
7 Sm 0.6667 0.3333 0.8877  9 Sm 3.61-3.63, 3 Pr 3.69
8 Th 0.6667 0.3333 0.3311  6 Sm 3.55-3.62, 6 Th 3.61
9 Th 0.6667 0.3333 0.6689  6 Sm 3.55-3.62, 6 Th 3.61

A plane-wave DFT calculation with PBE-GGA was carried out for crystalline YbB12 at its relaxed geometry.

Output
For the density of states at the Fermi level, the calculation gives 8.84 states/eV/f.u. Its formation energy is -0.19 eV per atom.

Cell: 5.2912 5.2912 5.2912 Å, 60.00 60.00 60.00°
Last column: nearest neighbours and their distance in Å.
Fractional positions:
1 B 0.5000 0.5000 0.8373  5 B 1.72-1.78
2 B 0.5000 0.1627 0.8373  5 B 1.72-1.78
3 B 0.8373 0.1627 0.5000  5 B 1.72-1.78
4 B 0.5000 0.1627 0.5000  5 B 1.72-1.78
5 B 0.5000 0.8373 0.5000  5 B 1.72-1.78
6 B 0.5000 0.8373 0.1627  5 B 1.72-1.78
7 B 0.1627 0.8373 0.5000  5 B 1.72-1.78
8 B 0.8373 0.5000 0.1627  5 B 1.72-1.78
9 B 0.5000 0.5000 0.1627  5 B 1.72-1.78
10 B 0.1627 0.5000 0.8373  5 B 1.72-1.78
11 B 0.1627 0.5000 0.5000  5 B 1.72-1.78
12 B 0.8373 0.5000 0.5000  5 B 1.72-1.78
13 Yb 0.0000 0.0000 0.0000  24 B 2.78

A plane-wave DFT calculation with PBE-GGA was carried out for crystalline Sb2AsBr at its relaxed geometry.

Output
For the density of states at the Fermi level, the calculation gives 1.55 states/eV/f.u. The value obtained for the polymorph energy (0 for the lowest one) is 93 meV per atom.

Cell: 8.8165 8.8165 8.8165 Å, 25.10 25.10 25.10°
Last column: nearest neighbours and their distance in Å.
Fractional positions:
1 As 0.2500 0.2500 0.2500  6 Sb 2.88
2 Sb 0.9885 0.9885 0.9885  3 As 2.88
3 Sb 0.5115 0.5115 0.5115  3 As 2.88
4 Br 0.7500 0.7500 0.7500  6 Sb 3.28

A plane-wave DFT calculation with PBE-GGA was carried out for crystalline Dy2Ge3Pt2 at its relaxed geometry.

Output
For the density of states at the Fermi level, the calculation gives 2.47 states/eV/f.u. Its formation energy is -0.90 eV per atom.

Cell: 4.2159 7.0568 9.3794 Å, 90.00 102.99 90.00°
Last column: nearest neighbours and their distance in Å.
Fractional positions:
1 Dy 0.9458 0.2500 0.8915  9 Ge 3.07-3.27
2 Dy 0.8451 0.7500 0.6903  6 Ge 3.00-3.06, 6 Pt 3.05-3.12
3 Dy 0.0542 0.7500 0.1085  9 Ge 3.07-3.27
4 Dy 0.1549 0.2500 0.3097  6 Ge 3.00-3.06, 6 Pt 3.05-3.12
5 Pt 0.6936 0.9535 0.3872  4 Ge 2.52-2.61
6 Pt 0.6936 0.5465 0.3872  4 Ge 2.52-2.61
7 Pt 0.3064 0.4535 0.6128  4 Ge 2.52-2.61
8 Pt 0.3064 0.0465 0.6128  4 Ge 2.52-2.61
9 Ge 0.7763 0.2500 0.5527  6 Pt 2.58-2.61
10 Ge 0.5626 0.0659 0.1251  2 Ge 2.47-2.60, 1 Pt 2.52
11 Ge 0.2237 0.7500 0.4473  6 Pt 2.58-2.61
12 Ge 0.5626 0.4341 0.1251  2 Ge 2.47-2.60, 1 Pt 2.52
13 Ge 0.4374 0.9341 0.8749  2 Ge 2.47-2.60, 1 Pt 2.52
14 Ge 0.4374 0.5659 0.8749  2 Ge 2.47-2.60, 1 Pt 2.52

A plane-wave DFT calculation with PBE-GGA was carried out for crystalline LaFeH6Rh at its relaxed geometry.

Output
For the density of states at the Fermi level, the calculation gives 2.62 states/eV/f.u. The energy comes out at -43.9 eV/cell.

Cell: 4.6451 4.6454 4.4157 Å, 90.00 90.00 60.00°
Last column: nearest neighbours and their distance in Å.
Fractional positions:
1 Fe 0.3333 0.3333 0.5000  6 H 1.71
2 H 0.0102 0.4950 0.2492  1 Fe 1.71, 1 Rh 1.77
3 H 0.4947 0.4950 0.7507  1 Fe 1.71, 1 Rh 1.77
4 H 0.0102 0.4948 0.7508  1 Fe 1.71, 1 Rh 1.77
5 H 0.4950 0.0103 0.7508  1 Fe 1.71, 1 Rh 1.77
6 H 0.4948 0.0103 0.2492  1 Fe 1.71, 1 Rh 1.77
7 H 0.4949 0.4948 0.2493  1 Fe 1.71, 1 Rh 1.77
8 La 0.0000 0.0000 0.0000  12 H 2.57
9 Rh 0.6666 0.6666 0.5000  6 H 1.77

A plane-wave DFT calculation with PBE-GGA was carried out for crystalline GaTc3C at its relaxed geometry.

Output
For the density of states at the Fermi level, the calculation gives 4.45 states/eV/f.u. The value obtained for the polymorph energy (0 for the lowest one) is 113 meV per atom. Its formation energy is 0.22 eV per atom.

Cell: 5.6340 7.0985 7.0986 Å, 75.73 90.00 90.00°
Last column: nearest neighbours and their distance in Å.
Fractional positions:
1 Tc 0.9884 0.6782 0.0223  2 C 2.12-2.16
2 Tc 0.0116 0.0222 0.6782  2 C 2.12-2.16
3 Tc 0.4884 0.0223 0.6782  2 C 2.12-2.16
4 Tc 0.5000 0.3517 0.3517  2 C 2.09
5 Tc 0.0116 0.3218 0.9777  2 C 2.12-2.16
6 Tc 0.0000 0.3517 0.3517  2 C 2.09
7 Tc 0.9884 0.9778 0.3218  2 C 2.12-2.16
8 Tc 0.4884 0.3218 0.9778  2 C 2.12-2.16
9 Tc 0.5000 0.6483 0.6483  2 C 2.09
10 Tc 0.5116 0.6782 0.0222  2 C 2.12-2.16
11 Tc 0.5116 0.9777 0.3218  2 C 2.12-2.16
12 Tc 0.0000 0.6483 0.6483  2 C 2.09
13 Ga 0.7500 0.0036 0.9964  8 Tc 2.64-2.67, 3 Ga 2.82-2.90
14 Ga 0.2500 0.6637 0.3363  8 Tc 2.60-2.65, 1 Ga 2.90
15 Ga 0.2500 0.9964 0.0036  8 Tc 2.64-2.67, 3 Ga 2.82-2.90
16 Ga 0.7500 0.3363 0.6637  8 Tc 2.60-2.65, 1 Ga 2.90
17 C 0.7500 0.8693 0.5617  6 Tc 2.09-2.16
18 C 0.7500 0.4383 0.1307  6 Tc 2.09-2.16
19 C 0.2500 0.1307 0.4383  6 Tc 2.09-2.16
20 C 0.2500 0.5617 0.8693  6 Tc 2.09-2.16

A plane-wave DFT calculation with PBE-GGA was carried out for crystalline BaScSi3 at its relaxed geometry.

Output
For the density of states at the Fermi level, the calculation gives 2.72 states/eV/f.u. The value obtained for the polymorph energy (0 for the lowest one) is 0 meV per atom.

Cell: 5.1056 5.1056 5.1056 Å, 90.00 90.00 90.00°
Last column: nearest neighbours and their distance in Å.
Fractional positions:
1 Sc 0.0000 0.0000 0.0000  6 Si 2.55
2 Ba 0.5000 0.5000 0.5000  12 Si 3.61
3 Si 0.0000 0.0000 0.5000  2 Sc 2.55
4 Si 0.5000 0.0000 0.0000  2 Sc 2.55
5 Si 0.0000 0.5000 0.0000  2 Sc 2.55

A plane-wave DFT calculation with PBE-GGA was carried out for crystalline Y2TaRu at its relaxed geometry.

Output
For the density of states at the Fermi level, the calculation gives 5.06 states/eV/f.u. The value obtained for the polymorph energy (0 for the lowest one) is 420 meV per atom. Its formation energy is 0.31 eV per atom.

Cell: 9.6002 9.6002 9.6002 Å, 19.76 19.76 19.76°
Last column: nearest neighbours and their distance in Å.
Fractional positions:
1 Ta 0.7500 0.7500 0.7500  6 Y 3.24, 6 Ta 3.29
2 Y 0.9905 0.9905 0.9905  3 Ru 2.82
3 Y 0.5095 0.5095 0.5095  3 Ru 2.82
4 Ru 0.2500 0.2500 0.2500  6 Y 2.82

A plane-wave DFT calculation with PBE-GGA was carried out for crystalline Nd4Sm3Ag at its relaxed geometry.

Output
For the density of states at the Fermi level, the calculation gives 11.58 states/eV/f.u. Its formation energy is -0.04 eV per atom.

Cell: 3.6723 3.6723 19.4140 Å, 90.00 90.00 90.00°
Last column: nearest neighbours and their distance in Å.
Fractional positions:
1 Sm 0.5000 0.5000 0.5000  8 Nd 3.66, 4 Sm 3.67
2 Sm 0.5000 0.5000 0.2353  8 Nd 3.64-3.67, 4 Sm 3.67
3 Sm 0.5000 0.5000 0.7647  8 Nd 3.64-3.67, 4 Sm 3.67
4 Nd 0.0000 0.0000 0.6329  8 Sm 3.64-3.66, 4 Nd 3.67
5 Nd 0.0000 0.0000 0.1014  4 Ag 3.26
6 Nd 0.0000 0.0000 0.8986  4 Ag 3.26
7 Nd 0.0000 0.0000 0.3671  8 Sm 3.64-3.66, 4 Nd 3.67
8 Ag 0.5000 0.5000 0.0000  8 Nd 3.26

A plane-wave DFT calculation with PBE-GGA was carried out for crystalline Mg3Zn3As4 at its relaxed geometry.

Output
For the density of states at the Fermi level, the calculation gives 0.60 states/eV/f.u. Its formation energy is -0.34 eV per atom.

Cell: 7.5608 7.5608 7.4146 Å, 80.64 80.64 32.69°
Last column: nearest neighbours and their distance in Å.
Fractional positions:
1 Mg 0.6790 0.6790 0.9601  4 As 2.59-2.71
2 Mg 0.3207 0.3207 0.0946  3 As 2.56-2.58
3 Mg 0.1812 0.1812 0.4873  4 As 2.59-2.76
4 As 0.1089 0.1089 0.1658  3 Zn 2.66-2.71, 3 Mg 2.71-2.76
5 As 0.3626 0.3626 0.4197  3 Zn 2.45-2.47, 2 Mg 2.58-2.59
6 As 0.5984 0.5984 0.6652  3 Mg 2.65-2.68, 3 Zn 2.65-2.67
7 As 0.8597 0.8597 0.9062  2 Zn 2.43-2.44, 3 Mg 2.56-2.59
8 Zn 0.8350 0.8350 0.5892  3 As 2.44-2.47
9 Zn 0.5339 0.5339 0.3510  4 As 2.45-2.66
10 Zn 0.0295 0.0295 0.8609  4 As 2.43-2.71